# 1
The following is a DFT calculation (PBE) of crystalline Rb3Dy2Br9 at its relaxed geometry.

abc: 10.2884 10.2884 10.2884
angles: 83.59 83.59 83.59
With the nearest neighbours (Å) after each atom.
Sites, in units of the cell vectors:
Rb1 0.0804 0.7500 0.4196  12 Br 3.82-4.12
Rb2 0.2500 0.5804 0.9196  12 Br 3.82-4.12
Rb3 0.4196 0.0804 0.7500  12 Br 3.82-4.12
Rb4 0.5804 0.9196 0.2500  12 Br 3.82-4.12
Rb5 0.7500 0.4196 0.0804  12 Br 3.82-4.12
Rb6 0.9196 0.2500 0.5804  12 Br 3.82-4.12
Dy1 0.1507 0.1507 0.1507  6 Br 2.72-2.91
Dy2 0.3493 0.3493 0.3493  6 Br 2.72-2.91
Dy3 0.6507 0.6507 0.6507  6 Br 2.72-2.91
Dy4 0.8493 0.8493 0.8493  6 Br 2.72-2.91
Br1 0.0785 0.2699 0.9169  1 Dy 2.72
Br2 0.0831 0.9215 0.7301  1 Dy 2.72
Br3 0.0929 0.4071 0.2500  2 Dy 2.91
Br4 0.2301 0.4215 0.5831  1 Dy 2.72
Br5 0.2500 0.0929 0.4071  2 Dy 2.91
Br6 0.2699 0.9169 0.0785  1 Dy 2.72
Br7 0.4071 0.2500 0.0929  2 Dy 2.91
Br8 0.4169 0.7699 0.5785  1 Dy 2.72
Br9 0.4215 0.5831 0.2301  1 Dy 2.72
Br10 0.5785 0.4169 0.7699  1 Dy 2.72
Br11 0.5831 0.2301 0.4215  1 Dy 2.72
Br12 0.5929 0.7500 0.9071  2 Dy 2.91
Br13 0.7301 0.0831 0.9215  1 Dy 2.72
Br14 0.7500 0.9071 0.5929  2 Dy 2.91
Br15 0.7699 0.5785 0.4169  1 Dy 2.72
Br16 0.9071 0.5929 0.7500  2 Dy 2.91
Br17 0.9169 0.0785 0.2699  1 Dy 2.72
Br18 0.9215 0.7301 0.0831  1 Dy 2.72

* formation energy (no corrections): -177.8 kJ/mol of atoms
* DFT total energy: -3.78 eV/atom
* space group: R-3c (167)
* Fermi-level density of states: 0.00 states/eV/atom


# 2
The following is a DFT calculation (PBE) of crystalline Rb2DyBr6 at its relaxed geometry.

abc: 4.5334 8.8105 8.8105
angles: 120.11 90.00 90.00
With the nearest neighbours (Å) after each atom.
Sites, in units of the cell vectors:
Rb1 0.0000 0.1669 0.8331  9 Br 3.48-3.68
Rb2 0.0000 0.8331 0.1669  9 Br 3.48-3.68
Dy1 0.5000 0.5011 0.5011  9 Br 3.03
Br1 0.0000 0.2719 0.5002  2 Dy 3.03
Br2 0.0000 0.5002 0.2719  2 Dy 3.03
Br3 0.0000 0.7298 0.7298  2 Dy 3.03
Br4 0.5000 0.1567 0.1567  1 Dy 3.03
Br5 0.5000 0.4999 0.8444  1 Dy 3.03
Br6 0.5000 0.8444 0.4999  1 Dy 3.03

* formation energy (no corrections): -144.4 kJ/mol of atoms
* DFT total energy: -3.34 eV/atom
* space group: Amm2 (38)
* Fermi-level density of states: 1.08 states/eV/atom


# 3
The following is a DFT calculation (PBE) of crystalline RbDy2Br7 at its relaxed geometry.

abc: 8.5483 8.5483 5.5999
angles: 90.00 90.00 116.39
With the nearest neighbours (Å) after each atom.
Sites, in units of the cell vectors:
Rb1 0.0000 0.0000 0.0000  10 Br 3.85-4.31
Dy1 0.3026 0.6974 0.5000  7 Br 2.80-2.94
Dy2 0.6974 0.3026 0.5000  7 Br 2.80-2.94
Br1 0.0482 0.3272 0.5000  2 Dy 2.91-2.94
Br2 0.2966 0.7034 0.0000  2 Dy 2.80
Br3 0.3272 0.0482 0.5000  2 Dy 2.91-2.94
Br4 0.5000 0.5000 0.5000  2 Dy 2.87
Br5 0.6728 0.9518 0.5000  2 Dy 2.91-2.94
Br6 0.7034 0.2966 0.0000  2 Dy 2.80
Br7 0.9518 0.6728 0.5000  2 Dy 2.91-2.94

* formation energy (no corrections): -175.1 kJ/mol of atoms
* DFT total energy: -4.00 eV/atom
* space group: Cmmm (65)
* Fermi-level density of states: 0.00 states/eV/atom


# 4
The following is a DFT calculation (PBE) of crystalline RbDySn2Br8 at its relaxed geometry.

abc: 6.8341 7.3146 9.4467
angles: 85.79 87.65 87.46
With the nearest neighbours (Å) after each atom.
Sites, in units of the cell vectors:
Rb1 0.0000 0.0000 0.0000  6 Br 3.37-3.43
Dy1 0.0000 0.0000 0.5000  6 Br 2.80-2.85
Sn1 0.4850 0.4813 0.2508  3 Br 2.73-3.00
Sn2 0.5150 0.5187 0.7492  3 Br 2.73-3.00
Br1 0.2288 0.3188 0.4717  1 Dy 2.85, 1 Sn 2.89
Br2 0.2361 0.8358 0.2916  1 Dy 2.80, 1 Sn 3.08
Br3 0.2546 0.8579 0.7124  1 Dy 2.82, 1 Sn 3.00
Br4 0.2704 0.3775 0.0354  1 Sn 2.73
Br5 0.7296 0.6225 0.9646  1 Sn 2.73
Br6 0.7454 0.1421 0.2876  1 Dy 2.82, 1 Sn 3.00
Br7 0.7639 0.1642 0.7084  1 Dy 2.80, 1 Sn 3.08
Br8 0.7712 0.6812 0.5283  1 Dy 2.85, 1 Sn 2.89

* formation energy (no corrections): -123.2 kJ/mol of atoms
* DFT total energy: -3.52 eV/atom
* space group: P-1 (2)
* Fermi-level density of states: 0.00 states/eV/atom


# 5
The following is a DFT calculation (PBE) of crystalline RbSr2DyBr8 at its relaxed geometry.

abc: 6.9238 9.5474 7.1865
angles: 90.00 90.18 90.00
With the nearest neighbours (Å) after each atom.
Sites, in units of the cell vectors:
Rb1 0.0000 0.0000 0.0000  6 Br 3.29-3.41
Sr1 0.5000 0.2509 0.5000  6 Br 3.02-3.21
Sr2 0.5000 0.7491 0.5000  6 Br 3.02-3.21
Dy1 0.0000 0.5000 0.0000  6 Br 2.80-2.89
Br1 0.2323 0.2922 0.1588  1 Dy 2.80, 1 Sr 3.09
Br2 0.2323 0.7078 0.1588  1 Dy 2.80, 1 Sr 3.09
Br3 0.2515 0.5000 0.6793  1 Dy 2.89, 2 Sr 3.21
Br4 0.2654 0.0000 0.6204  2 Sr 3.02, 1 Rb 3.29
Br5 0.7346 0.0000 0.3796  2 Sr 3.02, 1 Rb 3.29
Br6 0.7485 0.5000 0.3207  1 Dy 2.89, 2 Sr 3.21
Br7 0.7677 0.2922 0.8412  1 Dy 2.80, 1 Sr 3.09
Br8 0.7677 0.7078 0.8412  1 Dy 2.80, 1 Sr 3.09

* formation energy (no corrections): -188.5 kJ/mol of atoms
* DFT total energy: -3.81 eV/atom
* space group: P2/m (10)
* Fermi-level density of states: 0.00 states/eV/atom


# 6
The following is a DFT calculation (PBE) of crystalline RbDyTl2Br6 at its relaxed geometry.

abc: 8.2200 8.2281 8.5384
angles: 90.02 118.77 119.97
With the nearest neighbours (Å) after each atom.
Sites, in units of the cell vectors:
Rb1 0.0000 0.0000 0.0000  6 Br 3.39-3.55
Dy1 0.9795 0.4898 0.4688  6 Br 2.81-2.84
Tl1 0.5745 0.2875 0.8609  6 Br 3.37-3.43
Tl2 0.5949 0.7979 0.3918  6 Br 3.30-3.43
Br1 0.0804 0.4017 0.2191  1 Dy 2.84
Br2 0.0833 0.2562 0.6822  1 Dy 2.81
Br3 0.4262 0.8273 0.6821  1 Dy 2.81
Br4 0.5410 0.1397 0.2188  1 Dy 2.84
Br5 0.8173 0.6780 0.2185  1 Dy 2.84
Br6 0.8548 0.5993 0.6819  1 Dy 2.81

* formation energy (no corrections): -141.3 kJ/mol of atoms
* DFT total energy: -3.50 eV/atom
* space group: P1 (1)
* Fermi-level density of states: 0.00 states/eV/atom